The following is a DFT calculation (PBE) of a relaxed Y3Ge13Rh4 crystal.

Unit cell a=9.031 b=9.031 c=9.031 alpha=90.00 beta=90.00 gamma=90.00
Space group Pm-3n (No. 223)
Unique sites:
Y1 0.000 0.250 0.500
Ge1 0.000 0.000 0.000
Ge2 0.000 0.309 0.147
Rh1 0.250 0.250 0.250

Results
- energy relative to the elements (eV/atom) = -0.549
- E_tot (eV per cell) = -239.61
- density (Mg/m³) = 7.32
- volume (Å³/atom) = 18.42
- DOS(E_F) (states/eV/atom) = 0.25

---

The following is a DFT calculation (PBE) of a relaxed Sn2PdPt6 crystal.

Unit cell a=6.157 b=6.163 c=8.906 alpha=104.06 beta=104.12 gamma=90.58
Space group P-1 (No. 2)
Unique sites:
Sn1 0.032 0.471 0.250
Sn2 0.413 0.086 0.250
Pd1 0.000 0.000 0.000
Pd2 0.500 0.500 0.500
Pt1 0.110 0.292 0.503
Pt2 0.137 0.029 0.737
Pt3 0.209 0.389 0.996
Pt4 0.284 0.878 0.450
Pt5 0.377 0.784 0.949
Pt6 0.472 0.362 0.763

Results
- energy relative to the elements (eV/atom) = -0.224
- E_tot (eV per cell) = -102.91
- excess energy over the best structure of this formula in the dataset (meV per atom) = 3
- density (Mg/m³) = 15.86
- volume (Å³/atom) = 17.61
- DOS(E_F) (states/eV/atom) = 0.75

---

The following is a DFT calculation (PBE) of a relaxed Er2Fe3Ge5 crystal.

Unit cell a=9.523 b=12.076 c=5.581 alpha=90.00 beta=90.00 gamma=90.00
Space group Ibam (No. 72)
Unique sites:
Er1 0.230 0.144 0.000
Fe1 0.000 0.500 0.250
Fe2 0.089 0.147 0.500
Ge1 0.000 0.000 0.250
Ge2 0.000 0.291 0.250
Ge3 0.179 0.415 0.000

Results
- energy relative to the elements (eV/atom) = -0.472
- E_tot (eV per cell) = -249.27
- density (Mg/m³) = 8.96
- volume (Å³/atom) = 16.04
- DOS(E_F) (states/eV/atom) = 0.48

---

The following is a DFT calculation (PBE) of a relaxed Li4Cd2Ga crystal.

Unit cell a=14.524 b=2.870 c=7.290 alpha=90.00 beta=119.39 gamma=90.00
Space group C2/m (No. 12)
Unique sites:
Li1 0.076 0.000 0.220
Li2 0.131 0.500 0.883
Cd1 0.230 0.000 0.675
Ga1 0.000 0.000 0.500

Results
- energy relative to the elements (eV/atom) = -0.151
- E_tot (eV per cell) = -27.13
- excess energy over the best structure of this formula in the dataset (meV per atom) = 50
- density (Mg/m³) = 4.04
- volume (Å³/atom) = 18.91
- DOS(E_F) (states/eV/atom) = 0.35

---

The following is a DFT calculation (PBE) of a relaxed LiTaTe2 crystal.

Unit cell a=7.500 b=7.652 c=3.314 alpha=90.00 beta=109.31 gamma=90.00
Space group C2/m (No. 12)
Unique sites:
Li1 0.000 0.000 0.000
Ta1 0.000 0.500 0.000
Te1 0.250 0.250 0.500

Results
- E_tot (eV per cell) = -39.90
- density (Mg/m³) = 8.20
- formation energy (no corrections) (eV per atom) = 0.025
- volume (Å³/atom) = 22.44
- DOS(E_F) (states/eV/atom) = 0.48

---

The following is a DFT calculation (PBE) of a relaxed SrInMo2 crystal.

Unit cell a=4.918 b=4.918 c=6.977 alpha=90.00 beta=90.00 gamma=90.00
Space group I-4m2 (No. 119)
Unique sites:
Sr1 0.000 0.000 0.000
In1 0.000 0.500 0.750
Mo1 0.000 0.000 0.500
Mo2 0.000 0.500 0.250

Results
- energy relative to the elements (eV/atom) = 0.752
- E_tot (eV per cell) = -46.15
- density (Mg/m³) = 7.76
- volume (Å³/atom) = 21.10
- DOS(E_F) (states/eV/atom) = 0.93

---

The following is a DFT calculation (PBE) of a relaxed BeSi2Br crystal.

Unit cell a=3.6104 b=3.6104 c=19.0689 alpha=90.00 beta=90.00 gamma=120.00
Space group R-3m (No. 166, hexagonal axes)
Unique sites:
Be1 0.0000 0.0000 0.0000
Si1 0.0000 0.0000 0.2859
Br1 0.0000 0.0000 0.5000

Results
- E_tot (eV per cell) = -44.51
- excess energy over the best structure of this formula in the dataset (meV per atom) = 304
- density (Mg/m³) = 3.36
- formation energy (no corrections) (eV per atom) = 0.352
- volume (Å³/atom) = 17.94
- DOS(E_F) (states/eV/atom) = 0.41

---

The following is a DFT calculation (PBE) of a relaxed RbTlF2 crystal.

Unit cell a=4.0279 b=4.0279 c=19.8337 alpha=90.00 beta=90.00 gamma=120.00
Space group R-3m (No. 166, hexagonal axes)
Unique sites:
Rb1 0.0000 0.0000 0.0000
Tl1 0.0000 0.0000 0.5000
F1 0.0000 0.0000 0.2500

Results
- E_tot (eV per cell) = -47.59
- excess energy over the best structure of this formula in the dataset (meV per atom) = 8
- density (Mg/m³) = 5.86
- formation energy (no corrections) (eV per atom) = -2.197
- volume (Å³/atom) = 23.22
- DOS(E_F) (states/eV/atom) = 0.00